No. 1
Material: KTlGe
Method: DFT, PBE
State: relaxed

The space group is P1 (No. 1) and the conventional cell measures 3.975, 7.173 and 7.710 Å, with angles of 102.90, 90.37 and 105.84 degrees. The distinct sites, in fractional coordinates, are K at (0.000, 0.000, 0.000), K at (0.419, 0.829, 0.506), Tl at (0.283, 0.543, 0.023), Tl at (0.661, 0.314, 0.351), Ge at (0.144, 0.268, 0.671) and Ge at (0.772, 0.526, 0.709).

Its total DFT energy (no corrections) is -16.6 eV per cell. Its density is 5.106 g cm⁻³. Its total moment is 0.000 μB/atom. The energy of formation from the pure elements comes out at -0.07 eV per atom. The density of states at the Fermi level comes out at 0.219 states/eV/atom. For the volume, the calculation gives 206 Å³ per cell.

=====

No. 2
Material: KTlGe
Method: DFT, PBE
State: relaxed

The space group is P2_1/m (No. 11) and the conventional cell measures 6.790, 4.010 and 7.698 Å, with angles of 90.00, 95.81 and 90.00 degrees. The distinct sites, in fractional coordinates, are K at (0.106, 0.250, 0.237), Tl at (0.378, 0.250, 0.677) and Ge at (0.374, 0.750, 0.997).

Its total DFT energy (no corrections) is -16.5 eV per cell. Its density is 5.035 g cm⁻³. Its total moment is 0.000 μB/atom. The energy of formation from the pure elements comes out at -0.06 eV per atom. The density of states at the Fermi level comes out at 0.115 states/eV/atom. For the volume, the calculation gives 209 Å³ per cell.